Below is an optimized crystal structure of CaV2Fe2, with properties calculated at the GGA-PBE level.

Structure (extended XYZ):
```
10
Lattice="7.362 0.000 0.000 0.000 7.362 0.000 0.000 0.000 2.693" Properties=species:S:1:pos:R:3 pbc="T T T"
Ca 0.000 0.000 0.000
Ca 3.681 3.681 0.000
V 4.725 1.044 0.000
V 2.637 6.318 0.000
V 6.318 4.725 0.000
V 1.044 2.637 0.000
Fe 1.047 4.728 1.347
Fe 4.728 6.315 1.347
Fe 6.315 2.634 1.347
Fe 2.634 1.047 1.347
```

V, Å³ per cell: 146.0
Total magnetization, μB per cell: 0.7
ΔE to the lowest computed polymorph, meV/atom: 0
Energy relative to the elements, eV per atom: 0.280
Calculated density, Mg/m³: 5.77